[1]
VASP calculation (GGA-PBE) on a geometry-optimized Sr2GaPPb structure.

Unit cell a=4.528 b=7.622 c=9.633 alpha=107.29 beta=90.00 gamma=90.00
Fractional positions:
Sr  0.750  0.768  0.020
Sr  0.250  0.232  0.980
Sr  0.250  0.201  0.392
P  0.750  0.168  0.176
Pb  0.750  0.297  0.699
Sr  0.750  0.799  0.608
Ga  0.250  0.515  0.741
Pb  0.250  0.703  0.301
P  0.250  0.832  0.824
Ga  0.750  0.485  0.259

Results
Raw total energy in eV per cell: -38.02
Formation energy in kJ/mol of formula units: -338

[2]
VASP calculation (GGA-PBE) on a geometry-optimized MgBe6Au6 structure.

Unit cell a=4.870 b=6.483 c=6.483 alpha=80.97 beta=67.94 gamma=67.94
Fractional positions:
Au  0.000  0.675  0.325
Au  0.000  0.325  0.675
Mg  0.000  0.000  0.000
Au  0.670  0.830  0.830
Be  0.500  0.500  0.000
Be  0.000  0.500  0.000
Au  0.336  0.664  0.664
Au  0.664  0.336  0.336
Au  0.330  0.170  0.170
Be  0.500  0.239  0.761
Be  0.500  0.000  0.500
Be  0.500  0.761  0.239
Be  0.000  0.000  0.500

Results
E above lowest polymorph in meV per atom: 0
Raw total energy in eV per cell: -46.46
Formation energy in kJ/mol of formula units: -274

[3]
VASP calculation (GGA-PBE) on a geometry-optimized KDyTl2 structure.

Unit cell a=3.744 b=3.744 c=11.079 alpha=80.27 beta=80.27 gamma=60.00
Fractional positions:
Tl  0.743  0.743  0.771
Dy  0.000  0.000  0.000
K  0.500  0.500  0.500
Tl  0.257  0.257  0.229

Results
E above lowest polymorph in meV per atom: 142
Raw total energy in eV per cell: -10.66
Formation energy in kJ/mol of formula units: -22

[4]
VASP calculation (GGA-PBE) on a geometry-optimized YZnW2 structure.

Unit cell a=5.004 b=2.934 c=5.086 alpha=84.93 beta=90.00 gamma=90.00
Fractional positions:
W  0.000  0.914  0.005
Y  0.500  0.250  0.250
Zn  0.500  0.750  0.750
W  0.000  0.586  0.495

Results
Raw total energy in eV per cell: -31.69
Formation energy in kJ/mol of formula units: 188

[5]
VASP calculation (GGA-PBE) on a geometry-optimized BiMo2RhCl structure.

Unit cell a=4.569 b=4.496 c=4.569 alpha=90.00 beta=90.00 gamma=90.00
Each line ends with the local moment (μB).
Fractional positions:
Mo  0.000  0.000  0.500  1.03
Bi  0.500  0.500  0.500  -0.03
Cl  0.000  0.000  0.000  -0.01
Mo  0.500  0.000  0.000  0.91
Rh  0.000  0.500  0.000  0.08

Results
Raw total energy in eV per cell: -29.91

[6]
VASP calculation (GGA-PBE) on a geometry-optimized CsLa2AlHg structure.

Unit cell a=5.868 b=7.236 c=5.868 alpha=90.00 beta=90.00 gamma=90.00
Fractional positions:
La  0.000  0.000  0.500
La  0.500  0.000  0.000
Hg  0.500  0.500  0.500
Al  0.000  0.000  0.000
Cs  0.000  0.500  0.000

Results
Raw total energy in eV per cell: -12.73
Formation energy in kJ/mol of formula units: 195

Question: Look up the raw total energy of the third one.
Answer: -10.66 eV per cell

Copy entry 2 word for word.
VASP calculation (GGA-PBE) on a geometry-optimized MgBe6Au6 structure.

Unit cell a=4.870 b=6.483 c=6.483 alpha=80.97 beta=67.94 gamma=67.94
Fractional positions:
Au  0.000  0.675  0.325
Au  0.000  0.325  0.675
Mg  0.000  0.000  0.000
Au  0.670  0.830  0.830
Be  0.500  0.500  0.000
Be  0.000  0.500  0.000
Au  0.336  0.664  0.664
Au  0.664  0.336  0.336
Au  0.330  0.170  0.170
Be  0.500  0.239  0.761
Be  0.500  0.000  0.500
Be  0.500  0.761  0.239
Be  0.000  0.000  0.500

Results
E above lowest polymorph in meV per atom: 0
Raw total energy in eV per cell: -46.46
Formation energy in kJ/mol of formula units: -274